Entry 1:
# NaSrIrO4 (PBE-GGA, relaxed)
# formation energy (no corrections): -1487 meV per atom
# E_tot: -6.01 eV per atom
data_NaSrIrO4
_chemical_formula_sum 'Na1 Sr1 Ir1 O4'
_symmetry_space_group_name_H-M 'P 1'
_symmetry_Int_Tables_number 1
_symmetry_space_group_name_Hall 'P 1'
_cell_length_a 6.905
_cell_length_b 6.905
_cell_length_c 6.905
_cell_angle_alpha 147.28
_cell_angle_beta 147.28
_cell_angle_gamma 46.96
loop_
_atom_site_label
_atom_site_type_symbol
_atom_site_fract_x
_atom_site_fract_y
_atom_site_fract_z
Na1 Na 0.000 0.000 0.000
Sr1 Sr 0.694 0.694 0.000
Ir1 Ir 0.351 0.351 0.000
O1 O 0.188 0.188 0.000
O2 O 0.341 0.841 0.500
O3 O 0.505 0.505 0.000
O4 O 0.841 0.341 0.500



Entry 2:
# Ce2NiGe6Ru (PBE-GGA, relaxed)
# DFT formation energy: -38.2 kJ/mol of atoms
# E_tot: -5.86 eV per atom
data_Ce2NiGe6Ru
_chemical_formula_sum 'Ce4 Ni2 Ge12 Ru2'
_symmetry_space_group_name_H-M 'P 1'
_symmetry_Int_Tables_number 1
_symmetry_space_group_name_Hall 'P 1'
_cell_length_a 6.480
_cell_length_b 8.778
_cell_length_c 6.943
_cell_angle_alpha 90.00
_cell_angle_beta 90.00
_cell_angle_gamma 90.00
loop_
_atom_site_label
_atom_site_type_symbol
_atom_site_fract_x
_atom_site_fract_y
_atom_site_fract_z
Ce1 Ce 0.250 0.005 0.248
Ce2 Ce 0.250 0.495 0.248
Ce3 Ce 0.750 0.505 0.752
Ce4 Ce 0.750 0.995 0.752
Ni1 Ni 0.250 0.250 0.900
Ni2 Ni 0.750 0.750 0.100
Ge1 Ge 0.055 0.750 0.930
Ge2 Ge 0.059 0.250 0.584
Ge3 Ge 0.250 0.002 0.762
Ge4 Ge 0.250 0.498 0.762
Ge5 Ge 0.441 0.250 0.584
Ge6 Ge 0.445 0.750 0.930
Ge7 Ge 0.555 0.250 0.070
Ge8 Ge 0.559 0.750 0.416
Ge9 Ge 0.750 0.502 0.238
Ge10 Ge 0.750 0.998 0.238
Ge11 Ge 0.941 0.750 0.416
Ge12 Ge 0.945 0.250 0.070
Ru1 Ru 0.250 0.750 0.598
Ru2 Ru 0.750 0.250 0.402



Entry 3:
# MnPIr3 (PBE-GGA, relaxed)
# DFT formation energy: 92.3 kJ/mol of atoms
# offset from the most stable computed form: 0.000 eV/atom
# E_tot: -7.28 eV per atom
data_MnPIr3
_chemical_formula_sum 'Mn1 P1 Ir3'
_symmetry_space_group_name_H-M 'P 1'
_symmetry_Int_Tables_number 1
_symmetry_space_group_name_Hall 'P 1'
_cell_length_a 4.364
_cell_length_b 4.364
_cell_length_c 4.364
_cell_angle_alpha 90.00
_cell_angle_beta 90.00
_cell_angle_gamma 90.00
loop_
_atom_site_label
_atom_site_type_symbol
_atom_site_fract_x
_atom_site_fract_y
_atom_site_fract_z
Mn1 Mn 0.000 0.000 0.000
P1 P 0.500 0.500 0.500
Ir1 Ir 0.000 0.500 0.500
Ir2 Ir 0.500 0.000 0.500
Ir3 Ir 0.500 0.500 0.000



Entry 4:
# LaPm2Hg6 (PBE-GGA, relaxed)
# DFT formation energy: -42.9 kJ/mol of atoms
# E_tot: -2.25 eV per atom
data_LaPm2Hg6
_chemical_formula_sum 'La1 Pm2 Hg6'
_symmetry_space_group_name_H-M 'P 1'
_symmetry_Int_Tables_number 1
_symmetry_space_group_name_Hall 'P 1'
_cell_length_a 8.767
_cell_length_b 8.767
_cell_length_c 3.505
_cell_angle_alpha 90.00
_cell_angle_beta 90.00
_cell_angle_gamma 120.00
loop_
_atom_site_label
_atom_site_type_symbol
_atom_site_fract_x
_atom_site_fract_y
_atom_site_fract_z
La1 La 0.000 0.000 0.000
Pm1 Pm 0.333 0.667 0.000
Pm2 Pm 0.667 0.333 0.000
Hg1 Hg 0.000 0.335 0.500
Hg2 Hg 0.000 0.665 0.500
Hg3 Hg 0.335 0.000 0.500
Hg4 Hg 0.335 0.335 0.500
Hg5 Hg 0.665 0.000 0.500
Hg6 Hg 0.665 0.665 0.500



Entry 5:
# LaPrSm2 (PBE-GGA, relaxed)
# DFT formation energy: 1.8 kJ/mol of atoms
# offset from the most stable computed form: 0.023 eV/atom
# E_tot: -4.77 eV per atom
data_LaPrSm2
_chemical_formula_sum 'La1 Pr1 Sm2'
_symmetry_space_group_name_H-M 'P 1'
_symmetry_Int_Tables_number 1
_symmetry_space_group_name_Hall 'P 1'
_cell_length_a 3.689
_cell_length_b 3.689
_cell_length_c 10.365
_cell_angle_alpha 90.00
_cell_angle_beta 90.00
_cell_angle_gamma 90.00
loop_
_atom_site_label
_atom_site_type_symbol
_atom_site_fract_x
_atom_site_fract_y
_atom_site_fract_z
La1 La 0.000 0.000 0.000
Pr1 Pr 0.000 0.000 0.500
Sm1 Sm 0.500 0.500 0.251
Sm2 Sm 0.500 0.500 0.749



Entry 6:
# Sr2TlFe (PBE-GGA, relaxed)
# DFT formation energy: 36.7 kJ/mol of atoms
# E_tot: -3.17 eV per atom
data_Sr2TlFe
_chemical_formula_sum 'Sr2 Tl1 Fe1'
_symmetry_space_group_name_H-M 'P 1'
_symmetry_Int_Tables_number 1
_symmetry_space_group_name_Hall 'P 1'
_cell_length_a 6.188
_cell_length_b 6.188
_cell_length_c 6.188
_cell_angle_alpha 133.93
_cell_angle_beta 133.93
_cell_angle_gamma 67.20
loop_
_atom_site_label
_atom_site_type_symbol
_atom_site_fract_x
_atom_site_fract_y
_atom_site_fract_z
Sr1 Sr 0.000 0.000 0.000
Sr2 Sr 0.750 0.250 0.500
Tl1 Tl 0.250 0.750 0.500
Fe1 Fe 0.500 0.500 0.000



Entry 7:
# HoTmCuHg (PBE-GGA, relaxed)
# DFT formation energy: -33.1 kJ/mol of atoms
# offset from the most stable computed form: 0.027 eV/atom
# E_tot: -3.70 eV per atom
data_HoTmCuHg
_chemical_formula_sum 'Ho1 Tm1 Cu1 Hg1'
_symmetry_space_group_name_H-M 'P 1'
_symmetry_Int_Tables_number 1
_symmetry_space_group_name_Hall 'P 1'
_cell_length_a 5.061
_cell_length_b 5.061
_cell_length_c 5.061
_cell_angle_alpha 60.00
_cell_angle_beta 60.00
_cell_angle_gamma 60.00
loop_
_atom_site_label
_atom_site_type_symbol
_atom_site_fract_x
_atom_site_fract_y
_atom_site_fract_z
Ho1 Ho 0.000 0.000 0.000
Tm1 Tm 0.500 0.500 0.500
Cu1 Cu 0.250 0.250 0.250
Hg1 Hg 0.750 0.750 0.750



Entry 8:
# TaMnNb2H (PBE-GGA, relaxed)
# E_tot: -8.94 eV per atom
data_TaMnNb2H
_chemical_formula_sum 'Ta1 Mn1 Nb2 H1'
_symmetry_space_group_name_H-M 'P 1'
_symmetry_Int_Tables_number 1
_symmetry_space_group_name_Hall 'P 1'
_cell_length_a 4.490
_cell_length_b 4.490
_cell_length_c 3.396
_cell_angle_alpha 90.00
_cell_angle_beta 90.00
_cell_angle_gamma 90.00
loop_
_atom_site_label
_atom_site_type_symbol
_atom_site_fract_x
_atom_site_fract_y
_atom_site_fract_z
Ta1 Ta 0.000 0.000 0.000
Mn1 Mn 0.500 0.500 0.000
Nb1 Nb 0.000 0.500 0.500
Nb2 Nb 0.500 0.000 0.500
H1 H 0.500 0.500 0.500



Entry 9:
# Zn3HgB (PBE-GGA, relaxed)
# DFT formation energy: 27.2 kJ/mol of atoms
# offset from the most stable computed form: 0.000 eV/atom
# E_tot: -1.88 eV per atom
data_Zn3HgB
_chemical_formula_sum 'Zn3 Hg1 B1'
_symmetry_space_group_name_H-M 'P 1'
_symmetry_Int_Tables_number 1
_symmetry_space_group_name_Hall 'P 1'
_cell_length_a 4.318
_cell_length_b 4.318
_cell_length_c 4.318
_cell_angle_alpha 90.00
_cell_angle_beta 90.00
_cell_angle_gamma 90.00
loop_
_atom_site_label
_atom_site_type_symbol
_atom_site_fract_x
_atom_site_fract_y
_atom_site_fract_z
Zn1 Zn 0.000 0.000 0.500
Zn2 Zn 0.000 0.500 0.000
Zn3 Zn 0.500 0.000 0.000
Hg1 Hg 0.500 0.500 0.500
B1 B 0.000 0.000 0.000



Entry 10:
# BaCS2Cl (PBE-GGA, relaxed)
# formation energy (no corrections): -87 meV per atom
# offset from the most stable computed form: 0.000 eV/atom
# E_tot: -4.34 eV per atom
data_BaCS2Cl
_chemical_formula_sum 'Ba1 C1 S2 Cl1'
_symmetry_space_group_name_H-M 'P 1'
_symmetry_Int_Tables_number 1
_symmetry_space_group_name_Hall 'P 1'
_cell_length_a 4.309
_cell_length_b 4.309
_cell_length_c 5.455
_cell_angle_alpha 90.00
_cell_angle_beta 90.00
_cell_angle_gamma 90.00
loop_
_atom_site_label
_atom_site_type_symbol
_atom_site_fract_x
_atom_site_fract_y
_atom_site_fract_z
Ba1 Ba 0.000 0.000 0.000
C1 C 0.500 0.500 0.500
S1 S 0.000 0.500 0.500
S2 S 0.500 0.000 0.500
Cl1 Cl 0.500 0.500 0.000



Entry 11:
# MgPd7Au3 (PBE-GGA, relaxed)
# DFT formation energy: -13.4 kJ/mol of atoms
# E_tot: -4.48 eV per atom
data_MgPd7Au3
_chemical_formula_sum 'Mg1 Pd7 Au3'
_symmetry_space_group_name_H-M 'P 1'
_symmetry_Int_Tables_number 1
_symmetry_space_group_name_Hall 'P 1'
_cell_length_a 5.596
_cell_length_b 5.596
_cell_length_c 6.926
_cell_angle_alpha 90.00
_cell_angle_beta 90.00
_cell_angle_gamma 120.00
loop_
_atom_site_label
_atom_site_type_symbol
_atom_site_fract_x
_atom_site_fract_y
_atom_site_fract_z
Mg1 Mg 0.000 0.000 0.000
Pd1 Pd 0.003 0.501 0.987
Pd2 Pd 0.168 0.336 0.319
Pd3 Pd 0.168 0.832 0.319
Pd4 Pd 0.499 0.501 0.987
Pd5 Pd 0.499 0.997 0.987
Pd6 Pd 0.664 0.832 0.319
Pd7 Pd 0.667 0.333 0.315
Au1 Au 0.333 0.166 0.654
Au2 Au 0.834 0.166 0.654
Au3 Au 0.834 0.667 0.654



Entry 12:
# Cs3Tl4Sn (PBE-GGA, relaxed)
# DFT formation energy: -9.8 kJ/mol of atoms
# offset from the most stable computed form: 0.000 eV/atom
# E_tot: -2.11 eV per atom
data_Cs3Tl4Sn
_chemical_formula_sum 'Cs3 Tl4 Sn1'
_symmetry_space_group_name_H-M 'P 1'
_symmetry_Int_Tables_number 1
_symmetry_space_group_name_Hall 'P 1'
_cell_length_a 8.112
_cell_length_b 8.112
_cell_length_c 8.112
_cell_angle_alpha 127.88
_cell_angle_beta 119.23
_cell_angle_gamma 84.13
loop_
_atom_site_label
_atom_site_type_symbol
_atom_site_fract_x
_atom_site_fract_y
_atom_site_fract_z
Cs1 Cs 0.000 0.000 0.000
Cs2 Cs 0.406 0.645 0.761
Cs3 Cs 0.884 0.645 0.239
Tl1 Tl 0.030 0.325 0.704
Tl2 Tl 0.388 0.121 0.733
Tl3 Tl 0.388 0.655 0.267
Tl4 Tl 0.621 0.325 0.296
Sn1 Sn 0.609 0.109 0.500



no.,DOS at the Fermi energy (states/eV/cell)
1,5.8
2,24.8
3,9.7
4,7.2
5,6.8
6,7.6
7,4.4
8,4.1
9,1.8
10,1.7
11,11.3
12,6.1